Computed, not measured: a geometry-optimized CoRePO structure at the PBE with a Hubbard U level of DFT.

Lattice parameters (Å, degrees): 3.766 3.766 8.310 90.00 90.00 90.00
Fractional positions:
1 Re 0.500 0.500 0.500
2 Re 0.000 0.000 0.500
3 Co 0.500 0.000 0.948
4 Co 0.000 0.500 0.052
5 O 0.000 0.000 0.000
6 O 0.500 0.500 0.000
7 P 0.000 0.500 0.318
8 P 0.500 0.000 0.682

## Properties
Its space group is P4/nmm, No. 129. The calculation puts the polymorph energy (0 for the lowest one) at 0.0573 eV per atom.